# ZnCdBr2

A relaxed ZnCdBr2 crystal (PBE, the Alexandria database).

The value obtained for the density is 5.27 g/cm3. For the formation energy (no corrections), the calculation gives -199 meV/atom. The value obtained for the energy is -1.58 eV/atom. The value obtained for the polymorph energy (0 for the lowest one) is 292 meV/atom.

The space group is P4mm (No. 99) and the conventional cell measures 3.514, 3.514 and 8.623 Å, with angles of 90.00, 90.00 and 90.00 degrees. The inequivalent atoms are Zn at (0.000, 0.000, 0.000), Cd at (0.500, 0.500, 0.748), Br at (0.000, 0.000, 0.556) and Br at (0.500, 0.500, 0.155).

***

# SmHo2ZrSc4

A relaxed SmHo2ZrSc4 crystal (PBE, the Alexandria database).

The value obtained for the density is 5.85 g/cm3. The value obtained for the energy is -5.91 eV/atom.

The space group is Pmmm (No. 47) and the conventional cell measures 4.775, 4.786 and 9.336 Å, with angles of 90.00, 90.00 and 90.00 degrees. The inequivalent atoms are Sm at (0.000, 0.000, 0.000), Ho at (0.000, 0.000, 0.500), Ho at (0.500, 0.500, 0.000), Zr at (0.500, 0.500, 0.500), Sc at (0.000, 0.500, 0.262) and Sc at (0.500, 0.000, 0.262).

***

# Ac2PmDySe5

A relaxed Ac2PmDySe5 crystal (PBE, the Alexandria database).

The value obtained for the density is 6.54 g/cm3. For the formation energy (no corrections), the calculation gives -1488 meV/atom. The value obtained for the energy is -5.38 eV/atom.

The space group is P4/mmm (No. 123) and the conventional cell measures 5.154, 5.154 and 11.044 Å, with angles of 90.00, 90.00 and 90.00 degrees. The inequivalent atoms are Ac at (0.000, 0.000, 0.211), Pm at (0.500, 0.500, 0.500), Dy at (0.500, 0.500, 0.000), Se at (0.000, 0.000, 0.500), Se at (0.000, 0.500, 0.000) and Se at (0.500, 0.500, 0.252).

***

# Co2WCl

A relaxed Co2WCl crystal (PBE, the Alexandria database).

The value obtained for the density is 9.43 g/cm3. For the formation energy (no corrections), the calculation gives 279 meV/atom. The value obtained for the energy is -6.97 eV/atom. The value obtained for the polymorph energy (0 for the lowest one) is 0 meV/atom.

The space group is P2/m (No. 10) and the conventional cell measures 3.099, 2.842 and 6.742 Å, with angles of 90.00, 90.09 and 90.00 degrees. The inequivalent atoms are Co at (0.000, 0.000, 0.210), W at (0.500, 0.500, 0.000) and Cl at (0.000, 0.500, 0.500).

***

# TaTlZn2

A relaxed TaTlZn2 crystal (PBE, the Alexandria database).

The value obtained for the density is 11.64 g/cm3. The value obtained for the energy is -3.83 eV/atom. The value obtained for the polymorph energy (0 for the lowest one) is 154 meV/atom.

The space group is Pm (No. 6) and the conventional cell measures 2.971, 4.308 and 5.929 Å, with angles of 90.00, 104.08 and 90.00 degrees. The inequivalent atoms are Ta at (0.000, 0.000, 0.000), Tl at (0.653, 0.500, 0.303), Zn at (0.288, 0.000, 0.567) and Zn at (0.410, 0.500, 0.815).

***

# LaTm2ScHg4

A relaxed LaTm2ScHg4 crystal (PBE, the Alexandria database).

The value obtained for the density is 10.76 g/cm3. The value obtained for the energy is -3.12 eV/atom.

The space group is R-3m (No. 166, hexagonal axes) and the conventional cell measures 5.1753, 5.1753 and 26.4351 Å, with angles of 90.00, 90.00 and 120.00 degrees. The inequivalent atoms are La at (0.0000, 0.0000, 0.0000), Tm at (0.0000, 0.0000, 0.2456), Sc at (0.0000, 0.0000, 0.5000), Hg at (0.0000, 0.0000, 0.1286) and Hg at (0.0000, 0.0000, 0.3851).

***

# VFe2SiH

A relaxed VFe2SiH crystal (PBE, the Alexandria database).

The value obtained for the density is 6.46 g/cm3. The value obtained for the energy is -7.18 eV/atom.

The space group is P4/mmm (No. 123) and the conventional cell measures 3.597, 3.597 and 3.806 Å, with angles of 90.00, 90.00 and 90.00 degrees. The inequivalent atoms are V at (0.000, 0.000, 0.000), Fe at (0.000, 0.500, 0.500), Si at (0.500, 0.500, 0.000) and H at (0.000, 0.000, 0.500).

***

# Mn4Ir

A relaxed Mn4Ir crystal (PBE, the Alexandria database).

The value obtained for the density is 6.19 g/cm3. The value obtained for the energy is -7.94 eV/atom.

The space group is Pm-3m (No. 221) and the conventional cell measures 4.799, 4.799 and 4.799 Å, with angles of 90.00, 90.00 and 90.00 degrees. The inequivalent atoms are Mn at (0.000, 0.000, 0.000), Mn at (0.000, 0.500, 0.500) and Ir at (0.500, 0.500, 0.500).